(1)
LaGdZnFe: optimized geometry, PBE.

## Properties
The value obtained for the formation energy from the elements is -0.026 eV/atom.

Cell: 7.179 7.179 7.179 Å, 90.00 90.00 90.00°
Space group F-43m (No. 216)
One atom of each set of equivalent atoms:
La 0.000 0.000 0.000
Gd 0.000 0.000 0.500
Zn 0.250 0.250 0.250
Fe 0.250 0.250 0.750

(2)
Ba3SiN: optimized geometry, PBE.

## Properties
For the relative energy among the computed polymorphs, the calculation gives 0.0 kJ/mol of atoms. The uncorrected formation energy is -229 meV per atom.

Cell: 5.499 5.499 5.499 Å, 90.00 90.00 90.00°
Space group Pm-3m (No. 221)
One atom of each set of equivalent atoms:
Ba 0.000 0.000 0.500
Si 0.500 0.500 0.500
N 0.000 0.000 0.000

(3)
MgZrCu2: optimized geometry, PBE.

## Properties
The value obtained for the formation energy from the elements is 0.369 eV/atom.

Cell: 7.063 7.063 5.894 Å, 90.00 90.00 90.00°
Space group I-42d (No. 122)
One atom of each set of equivalent atoms:
Mg 0.000 0.000 0.000
Zr 0.000 0.000 0.500
Cu 0.239 0.250 0.125

(4)
RbHfIn: optimized geometry, PBE.

## Properties
For the relative energy among the computed polymorphs, the calculation gives 31.6 kJ/mol of atoms. The value obtained for the formation energy from the elements is 0.384 eV/atom.

Cell: 12.848 3.225 10.934 Å, 90.00 96.22 90.00°
Space group Cm (No. 8)
One atom of each set of equivalent atoms:
Rb 0.000 0.000 0.000
Rb 0.204 0.000 0.614
Hf 0.293 0.000 0.270
Hf 0.436 0.500 0.438
In 0.089 0.500 0.299
In 0.467 0.000 0.681

Computed M_tot (μB per formula unit) in order:
5.63 0.54 0.00 0.08
Computed Fermi-level density of states (states/eV per atom) in order:
1.027 1.308 1.365 0.724
Computed DFT total energy (eV per cell) in order:
-115.4 -20.7 -67.4 -50.0